Entry 1:
Compound: SrDyZn2Pd2
Source: Alexandria
Functional: PBE
Structure: relaxed

raw total energy: -23.03 eV/cell
symmetry: P-3m1 (164)
D(E_F): 0.827 states/eV/atom

POSCAR file:
```
SrDyZn2Pd2
1.0
4.4650 0.0000 0.0000
-2.2325 3.8668 0.0000
0.0000 0.0000 7.8102
Sr Dy Zn Pd
1 1 2 2
direct
0.0000 0.0000 0.0000
0.0000 0.0000 0.5000
0.3333 0.6667 0.2850
0.6667 0.3333 0.7150
0.3333 0.6667 0.7038
0.6667 0.3333 0.2962
```

***

Entry 2:
Compound: Dy3TaPd12
Source: Alexandria
Functional: PBE
Structure: relaxed

raw total energy: -100.75 eV/cell
symmetry: P4/mmm (123)
D(E_F): 0.246 states/eV/atom

POSCAR file:
```
Dy3TaPd12
1.0
4.0807 0.0000 0.0000
0.0000 4.0807 0.0000
0.0000 0.0000 16.3222
Dy Ta Pd
3 1 12
direct
0.0000 0.0000 0.0000
0.0000 0.0000 0.2504
0.0000 0.0000 0.7496
0.0000 0.0000 0.5000
0.0000 0.5000 0.1280
0.0000 0.5000 0.3860
0.0000 0.5000 0.6140
0.0000 0.5000 0.8720
0.5000 0.0000 0.1280
0.5000 0.0000 0.3860
0.5000 0.0000 0.6140
0.5000 0.0000 0.8720
0.5000 0.5000 0.0000
0.5000 0.5000 0.2575
0.5000 0.5000 0.5000
0.5000 0.5000 0.7425
```

***

Entry 3:
Compound: Dy2TaPd9
Source: Alexandria
Functional: PBE
Structure: relaxed

raw total energy: -77.10 eV/cell
symmetry: P4/mmm (123)
D(E_F): 0.126 states/eV/atom

POSCAR file:
```
Dy2TaPd9
1.0
4.0619 0.0000 0.0000
0.0000 4.0619 0.0000
0.0000 0.0000 12.2330
Dy Ta Pd
2 1 9
direct
0.0000 0.0000 0.1661
0.0000 0.0000 0.8339
0.0000 0.0000 0.5000
0.0000 0.5000 0.0000
0.0000 0.5000 0.3468
0.0000 0.5000 0.6532
0.5000 0.0000 0.0000
0.5000 0.0000 0.3468
0.5000 0.0000 0.6532
0.5000 0.5000 0.1738
0.5000 0.5000 0.5000
0.5000 0.5000 0.8262
```

***

Entry 4:
Compound: DyTaPd6
Source: Alexandria
Functional: PBE
Structure: relaxed

raw total energy: -53.06 eV/cell
symmetry: P4/mmm (123)
D(E_F): 0.310 states/eV/atom

POSCAR file:
```
DyTaPd6
1.0
4.0379 0.0000 0.0000
0.0000 4.0379 0.0000
0.0000 0.0000 8.0988
Dy Ta Pd
1 1 6
direct
0.0000 0.0000 0.0000
0.0000 0.0000 0.5000
0.0000 0.5000 0.2655
0.0000 0.5000 0.7345
0.5000 0.0000 0.2655
0.5000 0.0000 0.7345
0.5000 0.5000 0.0000
0.5000 0.5000 0.5000
```

***

Entry 5:
Compound: TbDyPd4
Source: Alexandria
Functional: PBE
Structure: relaxed

raw total energy: -137.64 eV/cell
symmetry: Pnma (62)
D(E_F): 0.468 states/eV/atom

POSCAR file:
```
TbDyPd4
1.0
6.9191 0.0000 0.0000
0.0000 4.0306 0.0000
0.0000 0.0000 17.0857
Tb Dy Pd
4 4 16
direct
0.1762 0.2500 0.2127
0.3238 0.7500 0.7127
0.6762 0.2500 0.2873
0.8238 0.7500 0.7873
0.1943 0.7500 0.4746
0.3057 0.2500 0.9746
0.6943 0.7500 0.0254
0.8057 0.2500 0.5254
0.0399 0.7500 0.9359
0.0485 0.2500 0.3703
0.1367 0.2500 0.8207
0.2414 0.2500 0.5943
0.2586 0.7500 0.0943
0.3633 0.7500 0.3207
0.4515 0.7500 0.8703
0.4601 0.2500 0.4359
0.5399 0.7500 0.5641
0.5485 0.2500 0.1297
0.6367 0.2500 0.6793
0.7414 0.2500 0.9057
0.7586 0.7500 0.4057
0.8633 0.7500 0.1793
0.9515 0.7500 0.6297
0.9601 0.2500 0.0641
```

***

Entry 6:
Compound: Tb2DyPd
Source: Alexandria
Functional: PBE
Structure: relaxed

raw total energy: -20.64 eV/cell
symmetry: P4/mmm (123)
D(E_F): 1.229 states/eV/atom

POSCAR file:
```
Tb2DyPd
1.0
3.5951 0.0000 0.0000
0.0000 3.5951 0.0000
0.0000 0.0000 8.4099
Tb Dy Pd
2 1 1
direct
0.0000 0.0000 0.1995
0.0000 0.0000 0.8005
0.5000 0.5000 0.5000
0.5000 0.5000 0.0000
```

***

Entry 7:
Compound: Tb3DyPd3
Source: Alexandria
Functional: PBE
Structure: relaxed

raw total energy: -77.79 eV/cell
symmetry: C2/m (12)
D(E_F): 0.725 states/eV/atom

POSCAR file:
```
Tb3DyPd3
1.0
4.6215 -5.2372 0.0000
4.6215 5.2372 0.0000
-0.2617 0.0000 7.1114
Tb Dy Pd
6 2 6
direct
0.1767 0.8233 0.0000
0.2512 0.7488 0.5000
0.3471 0.3471 0.1334
0.6529 0.6529 0.8666
0.7488 0.2512 0.5000
0.8233 0.1767 0.0000
0.2608 0.2608 0.6238
0.7392 0.7392 0.3762
0.0149 0.5022 0.7795
0.0621 0.0621 0.3084
0.4978 0.9851 0.2205
0.5022 0.0149 0.7795
0.9379 0.9379 0.6916
0.9851 0.4978 0.2205
```

***

Entry 8:
Compound: TbDy3Pd12
Source: Alexandria
Functional: PBE
Structure: relaxed

raw total energy: -94.75 eV/cell
symmetry: P4/mmm (123)
D(E_F): 0.742 states/eV/atom

POSCAR file:
```
TbDy3Pd12
1.0
4.1170 0.0000 0.0000
0.0000 4.1170 0.0000
0.0000 0.0000 16.5745
Tb Dy Pd
1 3 12
direct
0.0000 0.0000 0.0000
0.0000 0.0000 0.2505
0.0000 0.0000 0.5000
0.0000 0.0000 0.7495
0.0000 0.5000 0.1256
0.0000 0.5000 0.3752
0.0000 0.5000 0.6248
0.0000 0.5000 0.8744
0.5000 0.0000 0.1256
0.5000 0.0000 0.3752
0.5000 0.0000 0.6248
0.5000 0.0000 0.8744
0.5000 0.5000 0.0000
0.5000 0.5000 0.2504
0.5000 0.5000 0.5000
0.5000 0.5000 0.7496
```